# 1
The following is a PBE calculation of BaYZn4 after structural relaxation, from Alexandria.

abc: 5.730 5.730 5.730
angles: 60.00 60.00 60.00
Atoms (fractional coordinates):
Zn1 0.373 0.373 0.373
Zn2 0.373 0.882 0.373
Zn3 0.882 0.373 0.373
Zn4 0.373 0.373 0.882
Ba1 0.750 0.750 0.750
Y1 0.000 0.000 0.000

Its symmetry is F-43m. Its crystal system is cubic. For the density of states at the Fermi level, the calculation gives 5.68 states/eV per cell. The total DFT energy (no corrections) is -0.1760 Ry/atom.

=====

# 2
The following is a PBE calculation of SnHg2Bi after structural relaxation, from Alexandria.

abc: 3.396 3.396 11.696
angles: 81.65 81.65 60.00
Atoms (fractional coordinates):
Hg1 0.914 0.914 0.257
Hg2 0.086 0.086 0.743
Bi1 0.500 0.500 0.500
Sn1 0.000 0.000 0.000

Its symmetry is R-3m. Its crystal system is trigonal. For the density of states at the Fermi level, the calculation gives 2.07 states/eV per cell. The total DFT energy (no corrections) is -0.1510 Ry/atom.